# 1
DFT (PBE-GGA) results for a geometry-optimized NpTl2IBr6 structure.

```
10
Lattice="9.431 0.000 0.000 0.000 7.776 0.000 0.000 -3.888 6.734" Properties=species:S:1:pos:R:3 pbc="T T T"
Np 0.000 0.000 0.000
Tl 0.947 0.000 4.490
Tl 8.484 3.888 2.245
I 4.716 0.000 0.000
Br 7.887 0.000 2.278
Br 7.887 -1.915 5.595
Br 7.887 1.915 5.595
Br 1.544 5.803 1.139
Br 1.544 1.973 1.139
Br 1.544 3.888 4.456
```

Summary:
For the formation energy (no corrections), the calculation gives -0.8549 eV per atom.

=====

# 2
DFT (PBE-GGA) results for a geometry-optimized Fe8Co6Ni structure.

```
15
Lattice="5.114 0.000 0.000 0.000 5.541 -3.199 0.000 0.000 6.398" Properties=species:S:1:pos:R:3 pbc="T T T"
Fe 4.244 0.221 1.683
Fe 4.244 3.973 2.549
Fe 4.244 1.347 5.366
Fe 0.870 5.321 1.516
Fe 0.870 1.568 0.651
Fe 0.870 4.194 -2.167
Fe 4.954 1.847 3.199
Fe 0.160 3.694 0.000
Co 3.280 3.663 -1.580
Co 3.280 5.078 0.764
Co 3.280 2.341 0.817
Co 1.834 1.878 4.780
Co 1.834 0.463 2.436
Co 1.834 3.200 2.382
Ni 2.557 0.000 0.000
```

Summary:
For the energy relative to the elements, the calculation gives 0.25 eV/atom.

=====

# 3
DFT (PBE-GGA) results for a geometry-optimized Zr2NbCo2 structure.

```
10
Lattice="-4.092 1.059 5.619 4.762 -3.194 4.069 1.532 2.989 0.553" Properties=species:S:1:pos:R:3 pbc="T T T"
Nb 0.000 0.000 0.000
Nb 0.335 -1.068 4.844
Co 2.632 -2.396 5.660
Co -0.596 -1.073 7.459
Co -1.961 0.261 4.029
Co 1.267 -1.062 2.230
Zr 3.263 -0.470 3.979
Zr 1.958 -0.438 7.422
Zr -1.060 1.324 6.262
Zr 0.245 1.291 2.819
```

Summary:
For the energy relative to the elements, the calculation gives -0.14 eV/atom. Its energy above the most stable polymorph in this dataset is 0.103 eV per atom.

=====

# 4
DFT (PBE-GGA) results for a geometry-optimized Mn2CoOs structure.

```
4
Lattice="3.916 0.000 0.000 0.000 2.574 -0.002 0.000 1.285 4.730" Properties=species:S:1:pos:R:3 pbc="T T T"
Co 1.958 3.055 3.661
Mn 0.000 1.767 4.719
Mn 1.958 0.481 1.159
Os 0.000 1.770 2.282
```

Summary:
For the energy relative to the elements, the calculation gives 0.10 eV/atom.

=====

# 5
DFT (PBE-GGA) results for a geometry-optimized RbIn2Ag structure.

```
8
Lattice="-2.213 -4.815 1.898 5.021 -1.496 2.060 -0.805 1.241 10.558" Properties=species:S:1:pos:R:3 pbc="T T T"
Rb 1.404 -3.156 1.979
Rb 2.810 -1.705 7.298
Ag 0.000 0.000 0.000
Ag -0.808 -3.365 7.217
In -1.370 -3.784 4.437
In 0.859 -5.144 5.708
In -0.487 -1.157 9.019
In -2.232 -3.374 9.706
```

Summary:
For the energy relative to the elements, the calculation gives 0.10 eV/atom.

=====

# 6
DFT (PBE-GGA) results for a geometry-optimized ZnGaSb2O structure.

```
5
Lattice="5.174 0.000 0.000 0.000 4.717 0.000 0.000 0.000 5.174" Properties=species:S:1:pos:R:3 pbc="T T T"
Sb 0.000 0.000 2.587
Sb 2.587 0.000 0.000
Zn 0.000 0.000 0.000
O 2.587 2.359 2.587
Ga 0.000 2.359 0.000
```

Summary:
For the formation energy (no corrections), the calculation gives 0.8031 eV per atom.

=====

Record order is preserved below.
VASP energy: -3.78 -7.50 -8.42 -9.07 -2.22 -2.70 eV/atom